Compound: PrRhAu
Source: Alexandria
Functional: GGA-PBE
Structure: optimized geometry

Calculated values
Relative energy among the computed polymorphs: 0.178 eV/atom
Energy: -0.406 Ry/atom
Calculated formation energy: -0.389 eV/atom

Cell and atoms, written as CIF:
```
data_PrRhAu
_cell_length_a 10.0211
_cell_length_b 5.5753
_cell_length_c 5.2741
_cell_angle_alpha 90.00
_cell_angle_beta 120.11
_cell_angle_gamma 90.00
_symmetry_space_group_name_H-M 'C 1 2/m 1'
_symmetry_Int_Tables_number 12
loop_
_symmetry_equiv_pos_as_xyz
'x,y,z'
'-x,-y,-z'
'-x,y,-z'
'x,-y,z'
'x+1/2,y+1/2,z'
'-x+1/2,-y+1/2,-z'
'-x+1/2,y+1/2,-z'
'x+1/2,-y+1/2,z'
loop_
_atom_site_label
_atom_site_fract_x
_atom_site_fract_y
_atom_site_fract_z
_atom_site_occupancy
Pr1 0.1257 0.0000 0.3754 1
Rh1 0.0517 0.5000 0.2984 1
Au1 0.2500 0.2500 0.0000 1
```

---

Compound: Pr4Rh2Au5
Source: Alexandria
Functional: GGA-PBE
Structure: optimized geometry

Calculated values
Energy: -0.388 Ry/atom
Calculated formation energy: -0.720 eV/atom

Cell and atoms, written as CIF:
```
data_Pr4Rh2Au5
_cell_length_a 7.4600
_cell_length_b 3.8835
_cell_length_c 9.0622
_cell_angle_alpha 90.00
_cell_angle_beta 93.70
_cell_angle_gamma 90.00
_symmetry_space_group_name_H-M 'P 1 2/m 1'
_symmetry_Int_Tables_number 10
loop_
_symmetry_equiv_pos_as_xyz
'x,y,z'
'-x,-y,-z'
'-x,y,-z'
'x,-y,z'
loop_
_atom_site_label
_atom_site_fract_x
_atom_site_fract_y
_atom_site_fract_z
_atom_site_occupancy
Pr1 0.1973 0.0000 0.3589 1
Pr2 0.2380 0.0000 0.9218 1
Rh1 0.0700 0.5000 0.1430 1
Au1 0.1701 0.5000 0.6372 1
Au2 0.4499 0.5000 0.1688 1
Au3 0.5000 0.5000 0.5000 1
```

---

Compound: Pr8RhAu2
Source: Alexandria
Functional: GGA-PBE
Structure: optimized geometry

Calculated values
Relative energy among the computed polymorphs: 0.098 eV/atom
Energy: -0.370 Ry/atom
Calculated formation energy: -0.293 eV/atom

Cell and atoms, written as CIF:
```
data_Pr8RhAu2
_cell_length_a 9.3782
_cell_length_b 13.2992
_cell_length_c 6.3254
_cell_angle_alpha 90.00
_cell_angle_beta 115.63
_cell_angle_gamma 90.00
_symmetry_space_group_name_H-M 'C 1 m 1'
_symmetry_Int_Tables_number 8
loop_
_symmetry_equiv_pos_as_xyz
'x,y,z'
'x,-y,z'
'x+1/2,y+1/2,z'
'x+1/2,-y+1/2,z'
loop_
_atom_site_label
_atom_site_fract_x
_atom_site_fract_y
_atom_site_fract_z
_atom_site_occupancy
Pr1 0.0000 0.0000 0.0000 1
Pr2 0.1125 0.3597 0.9045 1
Pr3 0.1284 0.1306 0.5771 1
Pr4 0.2292 0.5000 0.4415 1
Pr5 0.3672 0.1434 0.2550 1
Rh1 0.3835 0.0000 0.9445 1
Au1 0.3557 0.3013 0.6960 1
```

---

Compound: Pr12Rh6Au
Source: Alexandria
Functional: GGA-PBE
Structure: optimized geometry

Calculated values
Energy: -0.442 Ry/atom
Calculated formation energy: -0.498 eV/atom

Cell and atoms, written as CIF:
```
data_Pr12Rh6Au
_cell_length_a 10.2291
_cell_length_b 10.2291
_cell_length_c 10.2291
_cell_angle_alpha 90.00
_cell_angle_beta 90.00
_cell_angle_gamma 90.00
_symmetry_space_group_name_H-M 'I m -3'
_symmetry_Int_Tables_number 204
_symmetry_space_group_name_Hall '-I 2 2 3'
loop_
_atom_site_label
_atom_site_fract_x
_atom_site_fract_y
_atom_site_fract_z
_atom_site_occupancy
Pr1 0.0000 0.3035 0.1846 1
Rh1 0.0000 0.1336 0.5000 1
Au1 0.0000 0.0000 0.0000 1
```

---

Compound: PrRhAu2
Source: Alexandria
Functional: GGA-PBE
Structure: optimized geometry

Calculated values
Energy: -0.374 Ry/atom
Calculated formation energy: -0.423 eV/atom

Cell and atoms, written as CIF:
```
data_PrRhAu2
_cell_length_a 4.6367
_cell_length_b 4.6367
_cell_length_c 14.1168
_cell_angle_alpha 90.00
_cell_angle_beta 90.00
_cell_angle_gamma 120.00
_symmetry_space_group_name_H-M 'R -3 m'
_symmetry_Int_Tables_number 166
_symmetry_space_group_name_Hall '-R 3 2"'
loop_
_atom_site_label
_atom_site_fract_x
_atom_site_fract_y
_atom_site_fract_z
_atom_site_occupancy
Pr1 0.0000 0.0000 0.0000 1
Rh1 0.0000 0.0000 0.5000 1
Au1 0.0000 0.0000 0.2149 1
```

---

Compound: PrRhAu4
Source: Alexandria
Functional: GGA-PBE
Structure: optimized geometry

Calculated values
Energy: -0.332 Ry/atom
Calculated formation energy: -0.306 eV/atom

Cell and atoms, written as CIF:
```
data_PrRhAu4
_cell_length_a 7.8289
_cell_length_b 7.8289
_cell_length_c 7.8289
_cell_angle_alpha 90.00
_cell_angle_beta 90.00
_cell_angle_gamma 90.00
_symmetry_space_group_name_H-M 'F -4 3 m'
_symmetry_Int_Tables_number 216
_symmetry_space_group_name_Hall 'F -4 2 3'
loop_
_atom_site_label
_atom_site_fract_x
_atom_site_fract_y
_atom_site_fract_z
_atom_site_occupancy
Pr1 0.0000 0.0000 0.0000 1
Rh1 0.2500 0.2500 0.2500 1
Au1 0.1244 0.1244 0.6244 1
```

---

Compound: Pr4RhAu3
Source: Alexandria
Functional: GGA-PBE
Structure: optimized geometry

Calculated values
Energy: -0.390 Ry/atom
Calculated formation energy: -0.766 eV/atom

Cell and atoms, written as CIF:
```
data_Pr4RhAu3
_cell_length_a 3.9502
_cell_length_b 4.7616
_cell_length_c 11.1553
_cell_angle_alpha 90.00
_cell_angle_beta 90.00
_cell_angle_gamma 90.00
_symmetry_space_group_name_H-M 'P m m 2'
_symmetry_Int_Tables_number 25
loop_
_symmetry_equiv_pos_as_xyz
'x,y,z'
'-x,-y,z'
'-x,y,z'
'x,-y,z'
loop_
_atom_site_label
_atom_site_fract_x
_atom_site_fract_y
_atom_site_fract_z
_atom_site_occupancy
Pr1 0.0000 0.0000 0.0000 1
Pr2 0.0000 0.5000 0.2614 1
Pr3 0.5000 0.0000 0.4716 1
Pr4 0.5000 0.5000 0.7631 1
Rh1 0.5000 0.0000 0.2140 1
Au1 0.0000 0.0000 0.7110 1
Au2 0.0000 0.5000 0.5395 1
Au3 0.5000 0.5000 0.0424 1
```

---

Compound: Pr3Rh7Au2
Source: Alexandria
Functional: GGA-PBE
Structure: optimized geometry

Calculated values
Energy: -0.482 Ry/atom
Calculated formation energy: -0.531 eV/atom

Cell and atoms, written as CIF:
```
data_Pr3Rh7Au2
_cell_length_a 5.4207
_cell_length_b 5.4207
_cell_length_c 26.8133
_cell_angle_alpha 90.00
_cell_angle_beta 90.00
_cell_angle_gamma 120.00
_symmetry_space_group_name_H-M 'R -3 m'
_symmetry_Int_Tables_number 166
_symmetry_space_group_name_Hall '-R 3 2"'
loop_
_atom_site_label
_atom_site_fract_x
_atom_site_fract_y
_atom_site_fract_z
_atom_site_occupancy
Pr1 0.0000 0.0000 0.0000 1
Pr2 0.0000 0.0000 0.1400 1
Rh1 0.0000 0.0000 0.5000 1
Rh2 0.0027 0.5014 0.9141 1
Au1 0.0000 0.0000 0.3335 1
```

---

- The highest calculated formation energy belongs to which entry?
  Pr8RhAu2

---

- Look up the calculated formation energy of the eighth one.
  -0.531 eV/atom

---

- Which formula does entry 1 have?
  PrRhAu